Compound: LaEu2H4
Source: Alexandria
Functional: GGA-PBE
Structure: relaxed

Properties
D(E_F) (states/eV per atom): 0.61
Volume (Å³/atom): 19.00
VASP energy (eV/atom): -5.82
Total magnetization (μB per cell): 30.17

Cell: 4.482 4.482 13.241 Å, 90.00 90.00 90.00°
Space group I4/mmm (No. 139)
Symmetry-distinct sites (fractional):
La 0.000 0.000 0.000 [2 per cell]
Eu 0.000 0.000 0.352 [4 per cell]
H 0.000 0.000 0.178 [4 per cell]
H 0.000 0.500 0.000 [4 per cell]